A relaxed Pr2RhSe crystal, computed with PBE.

POSCAR file:
```
Pr2RhSe
1.0
-1.3434 3.2753 0.7607
0.2920 -0.7024 3.5401
6.8510 2.8117 -0.0072
Pr Rh Se
2 1 1
Direct
0.0000 0.0000 0.2364 Pr
0.0000 0.0000 0.7636 Pr
0.5000 0.5000 0.0000 Rh
0.5000 0.5000 0.5000 Se
```

raw formation energy = -1071 meV/atom